Material: Nb3HgMo
Method: DFT, PBE
State: optimized geometry

## Properties
The magnetization comes out at 0.000 μB/f.u. The density of states at the Fermi level comes out at 0.90 states/eV/atom. The excess energy over the best structure of this formula in the dataset is 0.000 eV per atom. The calculated density is 8.41 g/cm3. The energy relative to the elements comes out at 1.15 eV/atom.

Cell and atoms, written as CIF:
```
data_Nb3HgMo
_symmetry_space_group_name_H-M 'P m -3 m'
_symmetry_Int_Tables_number 221
_symmetry_space_group_name_Hall '-P 4 2 3'
_cell_length_a 4.842
_cell_length_b 4.842
_cell_length_c 4.842
_cell_angle_alpha 90.00
_cell_angle_beta 90.00
_cell_angle_gamma 90.00
loop_
_atom_site_label
_atom_site_type_symbol
_atom_site_fract_x
_atom_site_fract_y
_atom_site_fract_z
_atom_site_occupancy
Nb1 Nb 0.000 0.000 0.500 1
Hg1 Hg 0.500 0.500 0.500 1
Mo1 Mo 0.000 0.000 0.000 1
```